Record 1
# LiBIr3, relaxed, DFT PBE
# Density   14.85 g cm⁻³
# Final energy   -26.9 eV per cell
# DOS(E_F)   1.255 states/eV per atom
# Excess energy over the best structure of this formula in the dataset   1.8713 eV/atom
# Energy of formation from the pure elements   160 kJ/mol of atoms
data_LiBIr3
_chemical_formula_sum 'Li1 B1 Ir3'
_cell_length_a 4.050
_cell_length_b 4.050
_cell_length_c 4.050
_cell_angle_alpha 90.00
_cell_angle_beta 90.00
_cell_angle_gamma 90.00
_symmetry_space_group_name_H-M 'P m -3 m'
_symmetry_Int_Tables_number 221
_symmetry_space_group_name_Hall '-P 4 2 3'
loop_
_atom_site_label
_atom_site_type_symbol
_atom_site_fract_x
_atom_site_fract_y
_atom_site_fract_z
_atom_site_occupancy
Li1 Li 0.000 0.000 0.000 1
B1 B 0.500 0.500 0.500 1
Ir1 Ir 0.000 0.000 0.500 1

***

Record 2
# LiB3Ir, relaxed, DFT PBE
# Density   8.47 g cm⁻³
# Final energy   -21.4 eV per cell
# DOS(E_F)   0.575 states/eV per atom
# Excess energy over the best structure of this formula in the dataset   1.1868 eV/atom
# Energy of formation from the pure elements   181 kJ/mol of atoms
data_LiB3Ir
_chemical_formula_sum 'Li1 B3 Ir1'
_cell_length_a 3.568
_cell_length_b 3.568
_cell_length_c 3.568
_cell_angle_alpha 90.00
_cell_angle_beta 90.00
_cell_angle_gamma 90.00
_symmetry_space_group_name_H-M 'P m -3 m'
_symmetry_Int_Tables_number 221
_symmetry_space_group_name_Hall '-P 4 2 3'
loop_
_atom_site_label
_atom_site_type_symbol
_atom_site_fract_x
_atom_site_fract_y
_atom_site_fract_z
_atom_site_occupancy
Li1 Li 0.000 0.000 0.000 1
B1 B 0.000 0.000 0.500 1
Ir1 Ir 0.500 0.500 0.500 1

***

Record 3
# LiB2Ir, relaxed, DFT PBE
# Density   10.02 g cm⁻³
# Final energy   -94.0 eV per cell
# DOS(E_F)   0.561 states/eV per atom
# Excess energy over the best structure of this formula in the dataset   0.0591 eV/atom
# Energy of formation from the pure elements   15 kJ/mol of atoms
data_LiB2Ir
_chemical_formula_sum 'Li4 B8 Ir4'
_cell_length_a 5.271
_cell_length_b 5.271
_cell_length_c 5.271
_cell_angle_alpha 90.00
_cell_angle_beta 90.00
_cell_angle_gamma 90.00
_symmetry_space_group_name_H-M 'F m -3 m'
_symmetry_Int_Tables_number 225
_symmetry_space_group_name_Hall '-F 4 2 3'
loop_
_atom_site_label
_atom_site_type_symbol
_atom_site_fract_x
_atom_site_fract_y
_atom_site_fract_z
_atom_site_occupancy
Li1 Li 0.000 0.000 0.000 1
B1 B 0.250 0.250 0.250 1
Ir1 Ir 0.000 0.000 0.500 1

***

Record 4
# LiBIr2, relaxed, DFT PBE
# Density   13.38 g cm⁻³
# Final energy   -81.5 eV per cell
# DOS(E_F)   0.322 states/eV per atom
# Energy of formation from the pure elements   -21 kJ/mol of atoms
data_LiBIr2
_chemical_formula_sum 'Li3 B3 Ir6'
_cell_length_a 2.7986
_cell_length_b 2.7986
_cell_length_c 22.0783
_cell_angle_alpha 90.00
_cell_angle_beta 90.00
_cell_angle_gamma 120.00
_symmetry_space_group_name_H-M 'R 3 m'
_symmetry_Int_Tables_number 160
_symmetry_space_group_name_Hall 'R 3 -2"'
loop_
_atom_site_label
_atom_site_type_symbol
_atom_site_fract_x
_atom_site_fract_y
_atom_site_fract_z
_atom_site_occupancy
Li1 Li 0.0000 0.0000 0.0000 1
B1 B 0.0000 0.0000 0.8335 1
Ir1 Ir 0.0000 0.0000 0.2333 1
Ir2 Ir 0.0000 0.0000 0.4337 1

***

Record 5
# Li2BIr3, relaxed, DFT PBE
# Density   13.02 g cm⁻³
# Final energy   -154.0 eV per cell
# DOS(E_F)   0.536 states/eV per atom
# Energy of formation from the pure elements   -23 kJ/mol of atoms
data_Li2BIr3
_chemical_formula_sum 'Li8 B4 Ir12'
_cell_length_a 6.745
_cell_length_b 6.745
_cell_length_c 6.745
_cell_angle_alpha 90.00
_cell_angle_beta 90.00
_cell_angle_gamma 90.00
_symmetry_space_group_name_H-M 'P 41 3 2'
_symmetry_Int_Tables_number 213
_symmetry_space_group_name_Hall 'P 4bd 2ab 3'
loop_
_atom_site_label
_atom_site_type_symbol
_atom_site_fract_x
_atom_site_fract_y
_atom_site_fract_z
_atom_site_occupancy
Li1 Li 0.070 0.070 0.070 1
B1 B 0.125 0.625 0.875 1
Ir1 Ir 0.042 0.875 0.708 1

***

Record 6
# LiBIr2, relaxed, DFT PBE
# Density   9.27 g cm⁻³
# Final energy   -96.3 eV per cell
# DOS(E_F)   0.687 states/eV per atom
# Energy of formation from the pure elements   54 kJ/mol of atoms
data_LiBIr2
_chemical_formula_sum 'Li4 B4 Ir8'
_cell_length_a 4.616
_cell_length_b 4.616
_cell_length_c 13.523
_cell_angle_alpha 90.00
_cell_angle_beta 90.00
_cell_angle_gamma 90.00
_symmetry_space_group_name_H-M 'I -4 2 d'
_symmetry_Int_Tables_number 122
_symmetry_space_group_name_Hall 'I -4 2bw'
loop_
_atom_site_label
_atom_site_type_symbol
_atom_site_fract_x
_atom_site_fract_y
_atom_site_fract_z
_atom_site_occupancy
Li1 Li 0.000 0.000 0.000 1
B1 B 0.000 0.000 0.500 1
Ir1 Ir 0.090 0.250 0.625 1

***

Record 7
# LiB2Ir2, relaxed, DFT PBE
# Density   9.73 g cm⁻³
# Final energy   -138.7 eV per cell
# DOS(E_F)   0.175 states/eV per atom
# Excess energy over the best structure of this formula in the dataset   0.0000 eV/atom
# Energy of formation from the pure elements   -32 kJ/mol of atoms
data_LiB2Ir2
_chemical_formula_sum 'Li4 B8 Ir8'
_cell_length_a 6.207
_cell_length_b 8.830
_cell_length_c 5.945
_cell_angle_alpha 90.00
_cell_angle_beta 120.11
_cell_angle_gamma 90.00
_symmetry_space_group_name_H-M 'C 1 2/c 1'
_symmetry_Int_Tables_number 15
loop_
_symmetry_equiv_pos_as_xyz
'x,y,z'
'-x,-y,-z'
'-x,y,-z+1/2'
'x,-y,z+1/2'
'x+1/2,y+1/2,z'
'-x+1/2,-y+1/2,-z'
'-x+1/2,y+1/2,-z+1/2'
'x+1/2,-y+1/2,z+1/2'
loop_
_atom_site_label
_atom_site_type_symbol
_atom_site_fract_x
_atom_site_fract_y
_atom_site_fract_z
_atom_site_occupancy
Li1 Li 0.000 0.128 0.250 1
B1 B 0.000 0.190 0.750 1
B2 B 0.000 0.434 0.250 1
Ir1 Ir 0.138 0.377 0.017 1

***

Record 8
# LiBIr3, relaxed, DFT PBE
# Density   14.43 g cm⁻³
# Final energy   -35.2 eV per cell
# DOS(E_F)   0.913 states/eV per atom
# Excess energy over the best structure of this formula in the dataset   0.2084 eV/atom
# Energy of formation from the pure elements   0 kJ/mol of atoms
data_LiBIr3
_chemical_formula_sum 'Li1 B1 Ir3'
_cell_length_a 4.090
_cell_length_b 4.090
_cell_length_c 4.090
_cell_angle_alpha 90.00
_cell_angle_beta 90.00
_cell_angle_gamma 90.00
_symmetry_space_group_name_H-M 'P m -3 m'
_symmetry_Int_Tables_number 221
_symmetry_space_group_name_Hall '-P 4 2 3'
loop_
_atom_site_label
_atom_site_type_symbol
_atom_site_fract_x
_atom_site_fract_y
_atom_site_fract_z
_atom_site_occupancy
Li1 Li 0.000 0.000 0.000 1
B1 B 0.500 0.500 0.500 1
Ir1 Ir 0.000 0.500 0.500 1

***

Record 9
# Li3BIr, relaxed, DFT PBE
# Density   5.91 g cm⁻³
# Final energy   -17.0 eV per cell
# DOS(E_F)   1.056 states/eV per atom
# Excess energy over the best structure of this formula in the dataset   0.0000 eV/atom
# Energy of formation from the pure elements   82 kJ/mol of atoms
data_Li3BIr
_chemical_formula_sum 'Li3 B1 Ir1'
_cell_length_a 3.976
_cell_length_b 3.976
_cell_length_c 3.976
_cell_angle_alpha 90.00
_cell_angle_beta 90.00
_cell_angle_gamma 90.00
_symmetry_space_group_name_H-M 'P m -3 m'
_symmetry_Int_Tables_number 221
_symmetry_space_group_name_Hall '-P 4 2 3'
loop_
_atom_site_label
_atom_site_type_symbol
_atom_site_fract_x
_atom_site_fract_y
_atom_site_fract_z
_atom_site_occupancy
Li1 Li 0.000 0.000 0.500 1
B1 B 0.000 0.000 0.000 1
Ir1 Ir 0.500 0.500 0.500 1

***

Record 10
# Li2MgBIr, relaxed, DFT PBE
# Density   5.68 g cm⁻³
# Final energy   -21.6 eV per cell
# DOS(E_F)   0.382 states/eV per atom
# Energy of formation from the pure elements   -13 kJ/mol of atoms
data_Li2MgBIr
_chemical_formula_sum 'Li2 Mg1 B1 Ir1'
_cell_length_a 4.171
_cell_length_b 4.171
_cell_length_c 4.050
_cell_angle_alpha 90.00
_cell_angle_beta 90.00
_cell_angle_gamma 90.00
_symmetry_space_group_name_H-M 'P 4/m m m'
_symmetry_Int_Tables_number 123
_symmetry_space_group_name_Hall '-P 4 2'
loop_
_atom_site_label
_atom_site_type_symbol
_atom_site_fract_x
_atom_site_fract_y
_atom_site_fract_z
_atom_site_occupancy
Li1 Li 0.000 0.500 0.000 1
Mg1 Mg 0.000 0.000 0.500 1
B1 B 0.500 0.500 0.000 1
Ir1 Ir 0.500 0.500 0.500 1

***

Record 11
# Li3Mg2BIr3, relaxed, DFT PBE
# Density   9.00 g cm⁻³
# Final energy   -44.1 eV per cell
# DOS(E_F)   0.532 states/eV per atom
# Energy of formation from the pure elements   -21 kJ/mol of atoms
data_Li3Mg2BIr3
_chemical_formula_sum 'Li3 Mg2 B1 Ir3'
_cell_length_a 6.9830
_cell_length_b 6.9830
_cell_length_c 2.8700
_cell_angle_alpha 90.00
_cell_angle_beta 90.00
_cell_angle_gamma 120.00
_symmetry_space_group_name_H-M 'P -6 2 m'
_symmetry_Int_Tables_number 189
_symmetry_space_group_name_Hall 'P -6 -2'
loop_
_atom_site_label
_atom_site_type_symbol
_atom_site_fract_x
_atom_site_fract_y
_atom_site_fract_z
_atom_site_occupancy
Li1 Li 0.0000 0.6399 0.0000 1
Mg1 Mg 0.3333 0.6667 0.5000 1
B1 B 0.0000 0.0000 0.0000 1
Ir1 Ir 0.0000 0.2446 0.5000 1

***

Record 12
# Li2MgB2Ir5, relaxed, DFT PBE
# Density   12.94 g cm⁻³
# Final energy   -130.9 eV per cell
# DOS(E_F)   0.672 states/eV per atom
# Energy of formation from the pure elements   -23 kJ/mol of atoms
data_Li2MgB2Ir5
_chemical_formula_sum 'Li4 Mg2 B4 Ir10'
_cell_length_a 9.503
_cell_length_b 9.503
_cell_length_c 2.900
_cell_angle_alpha 90.00
_cell_angle_beta 90.00
_cell_angle_gamma 90.00
_symmetry_space_group_name_H-M 'P 4/m b m'
_symmetry_Int_Tables_number 127
_symmetry_space_group_name_Hall '-P 4 2ab'
loop_
_atom_site_label
_atom_site_type_symbol
_atom_site_fract_x
_atom_site_fract_y
_atom_site_fract_z
_atom_site_occupancy
Li1 Li 0.176 0.324 0.000 1
Mg1 Mg 0.000 0.000 0.000 1
B1 B 0.126 0.626 0.000 1
Ir1 Ir 0.000 0.500 0.500 1
Ir2 Ir 0.071 0.782 0.500 1